No. 1
Computed, not measured: crystalline La2PmY2Er2 at its relaxed geometry at the GGA-PBE level of DFT.

abc: 11.4172 5.1062 8.1266
angles: 90.00 98.31 90.00
Closest atoms and distances in Å follow each position.
Space group C2/m (No. 12)
Unique sites:
La (0.1407, 0.0000, 0.4262) (multiplicity 4)  3 La 3.59-3.65, 5 Er 3.59-3.65, 1 Pm 3.60, 3 Y 3.64-3.67
Pm (0.0000, 0.0000, 0.0000) (multiplicity 2)  6 Y 3.59-3.61, 2 La 3.60, 4 Er 3.60
Y (0.2158, 0.5000, 0.1392) (multiplicity 4)  2 Y 3.57, 4 Er 3.59-3.63, 3 Pm 3.59-3.61, 3 La 3.64-3.67
Er (0.0706, 0.5000, 0.7172) (multiplicity 4)  4 Y 3.59-3.63, 5 La 3.59-3.65, 2 Pm 3.60, 1 Er 3.66

Output
Its total moment is 0.00 μB/cell. Its calculated total energy is -72.9 eV per cell.

=====

No. 2
Computed, not measured: crystalline Cd2Pd6Pt at its relaxed geometry at the GGA-PBE level of DFT.

abc: 4.0686 11.7106 12.2844
angles: 90.00 90.00 90.00
Closest atoms and distances in Å follow each position.
Space group Fmmm (No. 69)
Unique sites:
Cd (0.0000, 0.0000, 0.1621) (multiplicity 8)  8 Pd 2.80-2.88, 2 Pt 2.85, 2 Cd 2.97
Pd (0.0000, 0.1681, 0.3332) (multiplicity 16)  8 Pd 2.80-2.89, 3 Cd 2.83-2.88, 1 Pt 2.84
Pd (0.0000, 0.1687, 0.0000) (multiplicity 8)  8 Pd 2.79-2.89, 2 Cd 2.80, 2 Pt 2.84
Pt (0.0000, 0.0000, 0.5000) (multiplicity 4)  8 Pd 2.84, 4 Cd 2.85

Output
Its total moment is 0.00 μB/cell. The value obtained for the offset from the most stable computed form is 0.000 eV/atom. Its calculated total energy is -163.5 eV per cell.

=====

No. 3
Computed, not measured: crystalline NaAcSm at its relaxed geometry at the GGA-PBE level of DFT.

abc: 5.8725 5.8725 7.6380
angles: 90.00 90.00 120.00
Closest atoms and distances in Å follow each position.
Space group P-3m1 (No. 164)
Unique sites:
Na (0.3333, 0.6667, 0.0008) (multiplicity 2)  3 Na 3.39
Ac (0.0000, 0.0000, 0.2606) (multiplicity 2)  2 Ac 3.66-3.98, 6 Sm 3.85, 6 Na 3.93
Sm (0.3333, 0.6667, 0.5003) (multiplicity 2)  3 Sm 3.39

Output
Its total moment is 0.00 μB/cell. The value obtained for the offset from the most stable computed form is 0.000 eV/atom. Its calculated total energy is -19.5 eV per cell.

=====

No. 4
Computed, not measured: crystalline IrF at its relaxed geometry at the GGA-PBE level of DFT.

abc: 4.7926 4.7926 4.7926
angles: 90.00 90.00 90.00
Closest atoms and distances in Å follow each position.
Space group Fm-3m (No. 225)
Unique sites:
Ir (0.0000, 0.0000, 0.0000) (multiplicity 4)  6 F 2.40
F (0.0000, 0.0000, 0.5000) (multiplicity 4)  6 Ir 2.40

Output
Its total moment is 3.35 μB/cell. The value obtained for the offset from the most stable computed form is 1.744 eV/atom. Its calculated total energy is -33.6 eV per cell. The energy relative to the elements, uncorrected is 1161.9 meV/atom.

=====

No. 5
Computed, not measured: crystalline Dy8Sn2C at its relaxed geometry at the GGA-PBE level of DFT.

abc: 17.9060 5.3778 6.3688
angles: 90.00 109.60 90.00
Closest atoms and distances in Å follow each position.
Space group C2/m (No. 12)
Unique sites:
Dy (0.0046, 0.0000, 0.2441) (multiplicity 4)  6 Dy 3.06-3.41, 2 C 3.09, 1 Sn 3.19
Dy (0.0822, 0.5000, 0.7668) (multiplicity 4)  1 C 2.42
Dy (0.1274, 0.5000, 0.3053) (multiplicity 4)  1 C 2.45
Dy (0.2173, 0.0000, 0.1492) (multiplicity 4)  4 Sn 3.16-3.38, 3 Dy 3.45
Sn (0.1739, 0.0000, 0.6260) (multiplicity 4)  10 Dy 3.16-3.43
C (0.0000, 0.5000, 0.0000) (multiplicity 2)  4 Dy 2.42-2.45

Output
Its total moment is 0.00 μB/cell. Its calculated total energy is -112.4 eV per cell.

=====

No. 6
Computed, not measured: crystalline Cs4Cd2I at its relaxed geometry at the GGA-PBE level of DFT.

abc: 7.5741 7.5741 18.4739
angles: 90.00 90.00 90.00
Closest atoms and distances in Å follow each position.
Space group I4/mmm (No. 139)
Unique sites:
Cs (0.0000, 0.0000, 0.2064) (multiplicity 4)  1 I 3.81, 1 Cd 3.94
Cs (0.0000, 0.5000, 0.0000) (multiplicity 4)  2 I 3.79, 4 Cd 4.07
Cd (0.0000, 0.0000, 0.4196) (multiplicity 4)  1 Cd 2.97
I (0.0000, 0.0000, 0.0000) (multiplicity 2)  6 Cs 3.79-3.81

Output
Its total moment is 0.00 μB/cell. Its calculated total energy is -18.7 eV per cell. The energy relative to the elements, uncorrected is -368.1 meV/atom.

=====

No. 7
Computed, not measured: crystalline ZnWAu2 at its relaxed geometry at the GGA-PBE level of DFT.

abc: 2.8926 2.8926 27.6591
angles: 90.00 90.00 120.00
Closest atoms and distances in Å follow each position.
Space group R3m (No. 160, hexagonal axes)
Unique sites:
Zn (0.0000, 0.0000, 0.0000) (multiplicity 3)  3 W 2.77, 3 Au 2.77, 6 Zn 2.89
W (0.0000, 0.0000, 0.2534) (multiplicity 3)  3 Zn 2.77, 3 Au 2.85, 6 W 2.89
Au (0.0000, 0.0000, 0.5034) (multiplicity 3)  3 W 2.85, 9 Au 2.89-3.00
Au (0.0000, 0.0000, 0.7468) (multiplicity 3)  3 Zn 2.77, 9 Au 2.89-3.00

Output
Its total moment is 0.00 μB/cell. Its calculated total energy is -59.7 eV per cell.